[1]
DFT (PBE) results for K2SrTiO4 after structural relaxation.

## Properties
* total DFT energy (no corrections): -6.44 eV/atom
* density of states at the Fermi level: 0.0000 states/eV/atom

Cell lengths 7.322, 7.259, 6.070 Å; angles 90.00, 90.00, 90.00 degrees
Space group Pmn2_1 (No. 31)
Symmetry-distinct sites (fractional):
K (0.241, 0.158, 0.000) [4 per cell]
Sr (0.000, 0.376, 0.511) [2 per cell]
Ti (0.000, 0.670, 0.019) [2 per cell]
O (0.000, 0.433, 0.907) [2 per cell]
O (0.000, 0.657, 0.320) [2 per cell]
O (0.213, 0.792, 0.938) [4 per cell]

***

[2]
DFT (PBE) results for KSrTi2O after structural relaxation.

## Properties
* total DFT energy (no corrections): -4.96 eV/atom
* density of states at the Fermi level: 0.8799 states/eV/atom

Cell lengths 4.273, 4.273, 5.880 Å; angles 90.00, 90.00, 90.00 degrees
Space group P4/mmm (No. 123)
Symmetry-distinct sites (fractional):
K (0.000, 0.000, 0.000) [1 per cell]
Sr (0.500, 0.500, 0.000) [1 per cell]
Ti (0.000, 0.500, 0.500) [2 per cell]
O (0.000, 0.000, 0.500) [1 per cell]

***

Question: What is the total DFT energy (no corrections) in the second record?
Answer: -4.96 eV/atom

***

Repeat the first record exactly.
DFT (PBE) results for K2SrTiO4 after structural relaxation.

## Properties
* total DFT energy (no corrections): -6.44 eV/atom
* density of states at the Fermi level: 0.0000 states/eV/atom

Cell lengths 7.322, 7.259, 6.070 Å; angles 90.00, 90.00, 90.00 degrees
Space group Pmn2_1 (No. 31)
Symmetry-distinct sites (fractional):
K (0.241, 0.158, 0.000) [4 per cell]
Sr (0.000, 0.376, 0.511) [2 per cell]
Ti (0.000, 0.670, 0.019) [2 per cell]
O (0.000, 0.433, 0.907) [2 per cell]
O (0.000, 0.657, 0.320) [2 per cell]
O (0.213, 0.792, 0.938) [4 per cell]

***

Question: Which formula does entry 1 have?
Answer: K2SrTiO4

***

What did the first record say?
DFT (PBE) results for K2SrTiO4 after structural relaxation.

## Properties
* total DFT energy (no corrections): -6.44 eV/atom
* density of states at the Fermi level: 0.0000 states/eV/atom

Cell lengths 7.322, 7.259, 6.070 Å; angles 90.00, 90.00, 90.00 degrees
Space group Pmn2_1 (No. 31)
Symmetry-distinct sites (fractional):
K (0.241, 0.158, 0.000) [4 per cell]
Sr (0.000, 0.376, 0.511) [2 per cell]
Ti (0.000, 0.670, 0.019) [2 per cell]
O (0.000, 0.433, 0.907) [2 per cell]
O (0.000, 0.657, 0.320) [2 per cell]
O (0.213, 0.792, 0.938) [4 per cell]